HoErCrRu GGA-PBE optimized geometry; total DFT energy (no corrections) = -28.26 eV for the cell shown; energy of formation from the pure elements = -54 meV per atom; DOS at the Fermi energy = 2.93 states/eV/cell
1.0
0.000 3.446 3.446
3.446 0.000 3.446
3.446 3.446 0.000
Ho Er Cr Ru
1 1 1 1
direct
0.000 0.000 0.000
0.500 0.500 0.500
0.750 0.750 0.750
0.250 0.250 0.250